DFT (GGA-PBE) results for a relaxed structure of CsBe3O.

Properties
- space group = No. 221
- ρ (Mg/m³) = 0.76
- offset from the most stable computed form (eV/atom) = 1.346
- crystal system = cubic
- total magnetic moment (μB/atom) = 0.244
- ΔE_f (raw) (eV per atom) = 2.5108

a = 7.278 Å, b = 7.278 Å, c = 7.278 Å
α = 90.00°, β = 90.00°, γ = 90.00°
Fractional coordinates of all 5 atoms:
Cs1 0.000 0.000 0.000
Be1 0.000 0.000 0.500
Be2 0.000 0.500 0.000
Be3 0.500 0.000 0.000
O1 0.500 0.500 0.500